YRe2Ag: optimized geometry, PBE.

Calculated formation energy (meV/atom): 747.9
Polymorph energy (0 for the lowest one) (kcal/mol of atoms): 13.97
Density of states at the Fermi level (states/eV per cell): 16.74
Uncorrected energy (eV per atom): -7.805

CIF file:
```
data_YRe2Ag
_cell_length_a 3.954
_cell_length_b 3.954
_cell_length_c 20.625
_cell_angle_alpha 90.00
_cell_angle_beta 90.00
_cell_angle_gamma 90.00
_symmetry_space_group_name_H-M 'I -4 2 d'
_symmetry_Int_Tables_number 122
_symmetry_space_group_name_Hall 'I -4 2bw'
loop_
_atom_site_label
_atom_site_type_symbol
_atom_site_fract_x
_atom_site_fract_y
_atom_site_fract_z
Y1 Y 0.000 0.000 0.000
Re1 Re 0.191 0.250 0.625
Ag1 Ag 0.000 0.000 0.500
```

=====

Y2ReAg: optimized geometry, PBE.

Calculated formation energy (meV/atom): 255.8
Polymorph energy (0 for the lowest one) (kcal/mol of atoms): 6.99
Density of states at the Fermi level (states/eV per cell): 4.10
Uncorrected energy (eV per atom): -6.801

CIF file:
```
data_Y2ReAg
_cell_length_a 4.274
_cell_length_b 4.274
_cell_length_c 9.573
_cell_angle_alpha 90.00
_cell_angle_beta 90.00
_cell_angle_gamma 90.00
_symmetry_space_group_name_H-M 'I -4 m 2'
_symmetry_Int_Tables_number 119
_symmetry_space_group_name_Hall 'I -4 -2'
loop_
_atom_site_label
_atom_site_type_symbol
_atom_site_fract_x
_atom_site_fract_y
_atom_site_fract_z
Y1 Y 0.000 0.000 0.000
Y2 Y 0.000 0.500 0.250
Re1 Re 0.000 0.000 0.500
Ag1 Ag 0.000 0.500 0.750
```

=====

YRe2Ag: optimized geometry, PBE.

Calculated formation energy (meV/atom): 439.2
Polymorph energy (0 for the lowest one) (kcal/mol of atoms): 6.85
Density of states at the Fermi level (states/eV per cell): 9.98
Uncorrected energy (eV per atom): -8.114

CIF file:
```
data_YRe2Ag
_cell_length_a 2.9122
_cell_length_b 2.9122
_cell_length_c 29.5475
_cell_angle_alpha 90.00
_cell_angle_beta 90.00
_cell_angle_gamma 120.00
_symmetry_space_group_name_H-M 'R 3 m'
_symmetry_Int_Tables_number 160
_symmetry_space_group_name_Hall 'R 3 -2"'
loop_
_atom_site_label
_atom_site_type_symbol
_atom_site_fract_x
_atom_site_fract_y
_atom_site_fract_z
Y1 Y 0.0000 0.0000 0.0000
Re1 Re 0.0000 0.0000 0.2437
Re2 Re 0.0000 0.0000 0.5083
Ag1 Ag 0.0000 0.0000 0.7583
```

=====

YRe2Ag: optimized geometry, PBE.

Calculated formation energy (meV/atom): 788.8
Polymorph energy (0 for the lowest one) (kcal/mol of atoms): 14.91
Density of states at the Fermi level (states/eV per cell): 19.95
Uncorrected energy (eV per atom): -7.764

CIF file:
```
data_YRe2Ag
_cell_length_a 2.8457
_cell_length_b 2.8457
_cell_length_c 30.5154
_cell_angle_alpha 90.00
_cell_angle_beta 90.00
_cell_angle_gamma 120.00
_symmetry_space_group_name_H-M 'R -3 m'
_symmetry_Int_Tables_number 166
_symmetry_space_group_name_Hall '-R 3 2"'
loop_
_atom_site_label
_atom_site_type_symbol
_atom_site_fract_x
_atom_site_fract_y
_atom_site_fract_z
Y1 Y 0.0000 0.0000 0.0000
Re1 Re 0.0000 0.0000 0.2457
Ag1 Ag 0.0000 0.0000 0.5000
```

=====

YRe2Ag: optimized geometry, PBE.

Calculated formation energy (meV/atom): 432.6
Polymorph energy (0 for the lowest one) (kcal/mol of atoms): 6.70
Density of states at the Fermi level (states/eV per cell): 5.90
Uncorrected energy (eV per atom): -8.120

CIF file:
```
data_YRe2Ag
_cell_length_a 8.827
_cell_length_b 3.282
_cell_length_c 5.565
_cell_angle_alpha 90.00
_cell_angle_beta 101.54
_cell_angle_gamma 90.00
_symmetry_space_group_name_H-M 'C 1 m 1'
_symmetry_Int_Tables_number 8
_symmetry_space_group_name_Hall 'C -2y'
loop_
_atom_site_label
_atom_site_type_symbol
_atom_site_fract_x
_atom_site_fract_y
_atom_site_fract_z
Y1 Y 0.000 0.000 0.000
Re1 Re 0.272 0.500 0.338
Re2 Re 0.486 0.000 0.459
Ag1 Ag 0.238 0.000 0.735
```

=====

YRe2Ag: optimized geometry, PBE.

Calculated formation energy (meV/atom): 709.8
Polymorph energy (0 for the lowest one) (kcal/mol of atoms): 13.09
Density of states at the Fermi level (states/eV per cell): 4.29
Uncorrected energy (eV per atom): -7.843

CIF file:
```
data_YRe2Ag
_cell_length_a 2.763
_cell_length_b 2.763
_cell_length_c 9.346
_cell_angle_alpha 90.00
_cell_angle_beta 90.00
_cell_angle_gamma 90.00
_symmetry_space_group_name_H-M 'P 4/m m m'
_symmetry_Int_Tables_number 123
_symmetry_space_group_name_Hall '-P 4 2'
loop_
_atom_site_label
_atom_site_type_symbol
_atom_site_fract_x
_atom_site_fract_y
_atom_site_fract_z
Y1 Y 0.000 0.000 0.000
Re1 Re 0.500 0.500 0.264
Ag1 Ag 0.000 0.000 0.500
```